(1)
Mo2PC: relaxed, GGA-PBE.

## Properties
The energy above the most stable polymorph in this dataset is 9 meV per atom.

a b c (Å): 3.1654 3.1654 11.7318
angles (deg): 90.00 90.00 120.00
With the nearest neighbours (Å) after each atom.
Sites, in units of the cell vectors:
P  0.3333  0.6667  0.7500  6 Mo 2.56
C  0.0000  0.0000  0.0000  6 Mo 2.15
Mo  0.6667  0.3333  0.9027  3 C 2.15
Mo  0.3333  0.6667  0.4027  3 C 2.15
P  0.6667  0.3333  0.2500  6 Mo 2.56
C  0.0000  0.0000  0.5000  6 Mo 2.15
Mo  0.3333  0.6667  0.0973  3 C 2.15
Mo  0.6667  0.3333  0.5973  3 C 2.15



(2)
PrNdAu2: relaxed, GGA-PBE.

## Properties
The energy relative to the elements comes out at -0.81 eV/atom.

a b c (Å): 4.8258 5.8800 7.4919
angles (deg): 90.00 90.00 90.00
With the nearest neighbours (Å) after each atom.
Sites, in units of the cell vectors:
Au  0.5000  0.9001  0.4592  2 Au 3.04, 3 Pr 3.09-3.18, 4 Nd 3.17-3.19
Pr  0.5000  0.3926  0.3156  7 Au 3.09-3.19
Au  0.5000  0.0999  0.9592  2 Au 3.04, 3 Pr 3.09-3.18, 4 Nd 3.17-3.19
Au  0.0000  0.6019  0.5405  2 Au 3.04, 3 Nd 3.10-3.17, 4 Pr 3.17-3.19
Au  0.0000  0.3981  0.0405  2 Au 3.04, 3 Nd 3.10-3.17, 4 Pr 3.17-3.19
Nd  0.0000  0.1074  0.6848  7 Au 3.10-3.19
Nd  0.0000  0.8926  0.1848  7 Au 3.10-3.19
Pr  0.5000  0.6074  0.8156  7 Au 3.09-3.19



(3)
TbBeTe: relaxed, GGA-PBE.

a b c (Å): 4.9031 4.9031 4.9031
angles (deg): 60.00 60.00 60.00
With the nearest neighbours (Å) after each atom.
Sites, in units of the cell vectors:
Te  0.0000  0.0000  0.0000  4 Tb 3.00, 4 Be 3.00
Be  0.2500  0.2500  0.2500  4 Te 3.00
Tb  0.7500  0.7500  0.7500  4 Te 3.00



(4)
Gd2Ge5Ir3: relaxed, GGA-PBE.

a b c (Å): 6.0447 8.3971 8.3971
angles (deg): 89.53 111.10 111.10
With the nearest neighbours (Å) after each atom.
Sites, in units of the cell vectors:
Ir  0.7500  0.0000  0.0000  6 Ge 2.54-2.64
Ge  0.2500  0.7765  0.2235  3 Ir 2.47-2.64, 2 Ge 2.68
Ge  0.6618  0.0625  0.2612  3 Ir 2.39-2.54
Gd  0.2734  0.1402  0.4065  8 Ge 2.98-3.26, 3 Ir 3.14-3.25
Gd  0.7266  0.8598  0.5935  8 Ge 2.98-3.26, 3 Ir 3.14-3.25
Ge  0.7500  0.5000  0.5000  4 Ir 2.53
Ge  0.7500  0.2235  0.7765  3 Ir 2.47-2.64, 2 Ge 2.68
Ge  0.7500  0.7765  0.2235  3 Ir 2.47-2.64, 2 Ge 2.68
Ge  0.1618  0.2612  0.0625  3 Ir 2.39-2.54
Ge  0.8382  0.7388  0.9375  3 Ir 2.39-2.54
Ge  0.3382  0.9375  0.7388  3 Ir 2.39-2.54
Ir  0.3891  0.5311  0.2471  5 Ge 2.39-2.53
Ir  0.1109  0.7529  0.4689  5 Ge 2.39-2.53
Ir  0.6109  0.4689  0.7529  5 Ge 2.39-2.53
Ir  0.2500  0.0000  0.0000  6 Ge 2.54-2.64
Ge  0.2500  0.5000  0.5000  4 Ir 2.53
Gd  0.7734  0.4065  0.1402  8 Ge 2.98-3.26, 3 Ir 3.14-3.25
Ge  0.2500  0.2235  0.7765  3 Ir 2.47-2.64, 2 Ge 2.68
Gd  0.2266  0.5935  0.8598  8 Ge 2.98-3.26, 3 Ir 3.14-3.25
Ir  0.8891  0.2471  0.5311  5 Ge 2.39-2.53



(5)
Dy3TmGa4: relaxed, GGA-PBE.

a b c (Å): 6.6142 6.9204 6.9204
angles (deg): 36.53 90.00 90.00
With the nearest neighbours (Å) after each atom.
Sites, in units of the cell vectors:
Ga  0.3035  0.4011  0.4011  2 Ga 2.60-2.69
Dy  0.5000  0.0519  0.0519  8 Ga 3.01-3.21
Ga  0.1978  0.5988  0.5988  2 Ga 2.62-2.69
Tm  0.5000  0.7771  0.7771  6 Ga 3.01-3.08
Dy  0.0000  0.9477  0.9477  8 Ga 3.02-3.22
Ga  0.6965  0.4011  0.4011  2 Ga 2.60-2.69
Dy  0.0000  0.2236  0.2236  6 Ga 3.02-3.08
Ga  0.8022  0.5988  0.5988  2 Ga 2.62-2.69



(6)
Fe2SbS3: relaxed, GGA-PBE.

## Properties
The energy above the most stable polymorph in this dataset is 0 meV per atom.

a b c (Å): 4.8907 3.3362 5.6963
angles (deg): 90.00 94.56 90.00
With the nearest neighbours (Å) after each atom.
Sites, in units of the cell vectors:
Fe  0.4694  0.5000  0.5187  4 S 2.22-2.27
Fe  0.0204  0.0000  0.9816  5 S 2.23-2.28, 1 Sb 2.48
S  0.2738  0.5000  0.1436  3 Fe 2.23-2.27
S  0.7250  0.5000  0.8588  3 Fe 2.22-2.28
S  0.2147  0.0000  0.6404  3 Fe 2.23
Sb  0.7968  0.0000  0.3570  3 Fe 2.48-2.54, 1 S 2.50



(7)
TmHgBi: relaxed, GGA-PBE.

## Properties
The energy above the most stable polymorph in this dataset is 350 meV per atom.

a b c (Å): 5.1958 5.1958 5.1958
angles (deg): 60.00 60.00 60.00
With the nearest neighbours (Å) after each atom.
Sites, in units of the cell vectors:
Tm  0.7500  0.7500  0.7500  4 Bi 3.18
Hg  0.2500  0.2500  0.2500  4 Bi 3.18
Bi  0.0000  0.0000  0.0000  4 Tm 3.18, 4 Hg 3.18



(8)
Tc2P: relaxed, GGA-PBE.

## Properties
The energy above the most stable polymorph in this dataset is 1548 meV per atom.

a b c (Å): 7.2676 7.2676 7.2676
angles (deg): 60.00 60.00 60.00
With the nearest neighbours (Å) after each atom.
Sites, in units of the cell vectors:
P  0.1250  0.1250  0.1250  4 Tc 2.23
Tc  0.0000  0.5000  0.0000  2 P 2.23
Tc  0.0000  0.0000  0.0000  2 P 2.23
Tc  0.5000  0.0000  0.0000  2 P 2.23
P  0.8750  0.8750  0.8750  4 Tc 2.23
Tc  0.0000  0.0000  0.5000  2 P 2.23



(9)
Nb2SnPbSe4: relaxed, GGA-PBE.

a b c (Å): 3.4731 3.4731 18.6798
angles (deg): 90.00 90.00 120.00
With the nearest neighbours (Å) after each atom.
Sites, in units of the cell vectors:
Nb  0.6667  0.3333  0.7532  6 Se 2.61
Se  0.0000  0.0000  0.3361  3 Nb 2.61
Pb  0.0000  0.0000  0.5000  2 Se 3.06
Sn  0.0000  0.0000  0.0000  2 Se 2.94
Se  0.0000  0.0000  0.6639  3 Nb 2.61
Se  0.0000  0.0000  0.8425  3 Nb 2.61
Se  0.0000  0.0000  0.1575  3 Nb 2.61
Nb  0.3333  0.6667  0.2468  6 Se 2.61



(10)
Tb3Cd3In2Ga: relaxed, GGA-PBE.

a b c (Å): 7.4907 7.4907 4.5266
angles (deg): 90.00 90.00 120.00
With the nearest neighbours (Å) after each atom.
Sites, in units of the cell vectors:
In  0.3333  0.6667  0.5000  3 Cd 2.91, 6 Tb 3.19
Cd  0.0000  0.2402  0.5000  2 Ga 2.89, 2 In 2.91, 2 Cd 3.12
In  0.6667  0.3333  0.5000  3 Cd 2.91, 6 Tb 3.19
Tb  0.4174  0.4174  0.0000  1 Ga 3.13, 4 In 3.19, 2 Cd 3.42
Cd  0.7598  0.7598  0.5000  2 Ga 2.89, 2 In 2.91, 2 Cd 3.12
Ga  0.0000  0.0000  0.0000  6 Cd 2.89, 3 Tb 3.13
Cd  0.2402  0.0000  0.5000  2 Ga 2.89, 2 In 2.91, 2 Cd 3.12
Tb  0.5826  0.0000  0.0000  1 Ga 3.13, 4 In 3.19, 2 Cd 3.42
Tb  0.0000  0.5826  0.0000  1 Ga 3.13, 4 In 3.19, 2 Cd 3.42



(11)
Sc2Al3GaPd2: relaxed, GGA-PBE.

a b c (Å): 5.3438 5.3438 6.7147
angles (deg): 90.24 90.24 46.63
With the nearest neighbours (Å) after each atom.
Sites, in units of the cell vectors:
Al  0.6351  0.6351  0.4496  3 Pd 2.53-2.60, 2 Al 2.68-2.77
Al  0.6363  0.6363  0.0502  3 Pd 2.53-2.59, 1 Ga 2.67, 1 Al 2.68
Al  0.3620  0.3620  0.5522  3 Pd 2.55-2.59, 1 Ga 2.69, 1 Al 2.77
Pd  0.7913  0.7913  0.7497  4 Al 2.53-2.59, 2 Ga 2.64, 1 Sc 2.78
Pd  0.2049  0.2049  0.2483  5 Al 2.55-2.60, 1 Ga 2.58, 1 Sc 2.76
Ga  0.3719  0.3719  0.9525  3 Pd 2.58-2.64, 2 Al 2.67-2.69
Sc  0.9242  0.9242  0.2470  3 Pd 2.76-3.02, 2 Ga 2.94, 2 Al 3.01
Sc  0.0743  0.0743  0.7506  3 Pd 2.78-3.00, 4 Al 2.98-2.99



(12)
HoPuZn: relaxed, GGA-PBE.

## Properties
The energy above the most stable polymorph in this dataset is 0 meV per atom. The energy relative to the elements comes out at 0.18 eV/atom.

a b c (Å): 4.9094 4.9094 4.9094
angles (deg): 60.00 60.00 60.00
With the nearest neighbours (Å) after each atom.
Sites, in units of the cell vectors:
Zn  0.0000  0.0000  0.0000  4 Pu 3.01, 4 Ho 3.01
Ho  0.2500  0.2500  0.2500  4 Zn 3.01
Pu  0.7500  0.7500  0.7500  4 Zn 3.01



(13)
Be3Os2Pd2: relaxed, GGA-PBE.

a b c (Å): 6.7115 6.7115 6.7115
angles (deg): 34.14 34.14 34.14
With the nearest neighbours (Å) after each atom.
Sites, in units of the cell vectors:
Pd  0.4965  0.4965  0.4965  5 Be 2.34-2.44
Pd  0.0031  0.0031  0.0031  7 Be 2.38-2.42
Be  0.3728  0.3728  0.3728  4 Pd 2.34-2.38, 4 Os 2.39-2.44
Be  0.8771  0.8771  0.8771  4 Os 2.35-2.38, 4 Pd 2.39-2.44
Os  0.2467  0.2467  0.2467  7 Be 2.38-2.43
Os  0.7533  0.7533  0.7533  5 Be 2.35-2.44
Be  0.6254  0.6254  0.6254  4 Os 2.42-2.43, 4 Pd 2.42-2.44



(14)
TbAgSnSeS2: relaxed, GGA-PBE.

a b c (Å): 6.9678 6.9678 10.6442
angles (deg): 90.00 90.00 146.69
With the nearest neighbours (Å) after each atom.
Sites, in units of the cell vectors:
Se  0.3980  0.6020  0.7500  2 Ag 2.67, 2 Sn 2.99, 2 Tb 2.99
Tb  0.5000  0.5000  0.0000  4 S 2.78, 2 Se 2.99
S  0.1377  0.8623  0.9423  1 Ag 2.49, 2 Tb 2.78
S  0.8623  0.1377  0.4423  1 Ag 2.49, 2 Tb 2.78
S  0.1377  0.8623  0.5577  1 Ag 2.49, 2 Tb 2.78
S  0.8623  0.1377  0.0577  1 Ag 2.49, 2 Tb 2.78
Ag  0.0312  0.9688  0.7500  2 S 2.49, 2 Se 2.67
Sn  0.7314  0.2686  0.7500  2 Se 2.99, 4 S 3.12, 2 Ag 3.34
Se  0.6020  0.3980  0.2500  2 Ag 2.67, 2 Sn 2.99, 2 Tb 2.99
Tb  0.5000  0.5000  0.5000  4 S 2.78, 2 Se 2.99
Ag  0.9688  0.0312  0.2500  2 S 2.49, 2 Se 2.67
Sn  0.2686  0.7314  0.2500  2 Se 2.99, 4 S 3.12, 2 Ag 3.34



(15)
Ni10Te: relaxed, GGA-PBE.

## Properties
The energy above the most stable polymorph in this dataset is 140 meV per atom.

a b c (Å): 3.0180 3.0180 36.3773
angles (deg): 90.00 90.00 90.00
With the nearest neighbours (Å) after each atom.
Sites, in units of the cell vectors:
Ni  0.5000  0.5000  0.4157  10 Ni 2.45-2.46
Ni  0.5000  0.5000  0.4830  10 Ni 2.45-2.46
Ni  0.0000  0.0000  0.4493  10 Ni 2.45-2.46
Ni  0.5000  0.5000  0.6853  10 Ni 2.44-2.47
Ni  0.0000  0.0000  0.7194  10 Ni 2.43-2.47
Te  0.5000  0.5000  0.1372  5 Ni 2.59-2.78
Ni  0.5000  0.5000  0.2136  9 Ni 2.44-2.50
Ni  0.5000  0.5000  0.6181  10 Ni 2.44-2.46
Ni  0.0000  0.0000  0.5843  10 Ni 2.45-2.46
Ni  0.5000  0.5000  0.5507  10 Ni 2.45-2.46
Ni  0.0000  0.0000  0.5169  10 Ni 2.45-2.46
Ni  0.0000  0.0000  0.7863  9 Ni 2.43-2.50
Ni  0.0000  0.0000  0.3146  10 Ni 2.44-2.47
Ni  0.0000  0.0000  0.6519  10 Ni 2.46
Ni  0.0000  0.0000  0.3819  10 Ni 2.45-2.46
Ni  0.5000  0.5000  0.7526  10 Ni 2.45-2.53
Ni  0.0000  0.0000  0.1778  5 Ni 2.50-2.53, 4 Te 2.59
Ni  0.5000  0.5000  0.2806  10 Ni 2.44-2.47
Ni  0.5000  0.5000  0.8223  5 Ni 2.50-2.53, 4 Te 2.60
Ni  0.0000  0.0000  0.2474  10 Ni 2.44-2.53
Te  0.0000  0.0000  0.8630  5 Ni 2.60-2.79
Ni  0.5000  0.5000  0.3481  10 Ni 2.46



(16)
DyGeH2O4: relaxed, GGA-PBE.

## Properties
The energy above the most stable polymorph in this dataset is 14 meV per atom.

a b c (Å): 11.9973 6.2279 4.9923
angles (deg): 90.00 104.00 90.00
With the nearest neighbours (Å) after each atom.
Sites, in units of the cell vectors:
O  0.2828  0.9507  0.7350  1 H 1.06
O  0.2172  0.4507  0.2650  1 H 1.06
H  0.2466  0.4759  0.4801  1 O 1.06
Ge  0.6045  0.2824  0.2913  3 O 1.78-1.97
O  0.0118  0.2535  0.9576  1 H 1.46
H  0.7534  0.5241  0.5199  1 O 1.06
Dy  0.1614  0.7252  0.9509  6 O 2.21-2.45
O  0.5118  0.2465  0.9576  1 H 1.46
O  0.4689  0.2556  0.4434  1 H 1.03
H  0.0072  0.7549  0.3432  1 O 1.03
O  0.4882  0.7535  0.0424  1 H 1.46
O  0.7828  0.5493  0.7350  1 H 1.06
Dy  0.6614  0.7748  0.9509  6 O 2.21-2.45
O  0.9882  0.7465  0.0424  1 H 1.46
O  0.5311  0.7444  0.5566  1 H 1.03
Ge  0.1045  0.2176  0.2913  3 O 1.78-1.97
O  0.0311  0.7556  0.5566  1 H 1.03
H  0.4928  0.2549  0.6568  1 O 1.03
O  0.2836  0.5045  0.7723  1 H 1.43
O  0.9689  0.2444  0.4434  1 H 1.03
Ge  0.8955  0.7824  0.7087  3 O 1.78-1.97
O  0.7164  0.4955  0.2277  1 H 1.43
O  0.7836  0.9955  0.7723  1 H 1.43
O  0.2164  0.0045  0.2277  1 H 1.43
Dy  0.3386  0.2252  0.0491  6 O 2.21-2.45
O  0.7172  0.0493  0.2650  1 H 1.06
H  0.2534  0.9759  0.5199  1 O 1.06
Dy  0.8386  0.2748  0.0491  6 O 2.21-2.45
Ge  0.3955  0.7176  0.7087  3 O 1.78-1.97
H  0.5072  0.7451  0.3432  1 O 1.03
H  0.9928  0.2451  0.6568  1 O 1.03
H  0.7466  0.0241  0.4801  1 O 1.06



(17)
PuRe: relaxed, GGA-PBE.

## Properties
The energy relative to the elements comes out at 0.40 eV/atom.

a b c (Å): 2.7896 2.7894 5.3483
angles (deg): 90.00 90.00 120.00
With the nearest neighbours (Å) after each atom.
Sites, in units of the cell vectors:
Pu  0.6667  0.3333  0.7500  6 Pu 2.79, 6 Re 3.12
Re  0.3333  0.6667  0.2500  6 Re 2.79, 6 Pu 3.12



(18)
NdScBe: relaxed, GGA-PBE.

a b c (Å): 4.6560 4.6560 4.6560
angles (deg): 60.00 60.00 60.00
With the nearest neighbours (Å) after each atom.
Sites, in units of the cell vectors:
Nd  0.7500  0.7500  0.7500  4 Sc 2.85
Be  0.2500  0.2500  0.2500  4 Sc 2.85
Sc  0.0000  0.0000  0.0000  4 Nd 2.85, 4 Be 2.85



(19)
ZrZnGaFe: relaxed, GGA-PBE.

## Properties
The energy above the most stable polymorph in this dataset is 0 meV per atom.

a b c (Å): 4.4336 4.4336 4.4336
angles (deg): 60.00 60.00 60.00
With the nearest neighbours (Å) after each atom.
Sites, in units of the cell vectors:
Ga  0.0000  0.0000  0.0000  4 Fe 2.72, 4 Zn 2.72
Zn  0.2500  0.2500  0.2500  4 Zr 2.72, 4 Ga 2.72
Fe  0.7500  0.7500  0.7500  4 Zr 2.71-2.72, 4 Ga 2.72
Zr  0.5000  0.5000  0.5000  4 Fe 2.71-2.72, 4 Zn 2.72



(20)
ZnCu9: relaxed, GGA-PBE.

## Properties
The energy above the most stable polymorph in this dataset is 0 meV per atom. The energy relative to the elements comes out at 0.03 eV/atom.

a b c (Å): 2.5259 2.5259 44.4767
angles (deg): 90.00 90.00 90.00
With the nearest neighbours (Å) after each atom.
Sites, in units of the cell vectors:
Cu  0.0000  0.5000  0.6026  12 Cu 2.53-2.55
Cu  0.5000  0.0000  0.8088  12 Cu 2.53-2.57
Cu  0.0000  0.5000  0.4383  12 Cu 2.53-2.55
Cu  0.0000  0.5000  0.3564  12 Cu 2.53-2.55
Cu  0.5000  0.0000  0.6436  12 Cu 2.53-2.55
Cu  0.0000  0.5000  0.1912  12 Cu 2.53-2.57
Cu  0.5000  0.0000  0.3974  12 Cu 2.53-2.55
Zn  0.0000  0.5000  0.1052  4 Zn 2.53, 4 Cu 2.66
Cu  0.5000  0.0000  0.3154  12 Cu 2.53-2.56
Cu  0.0000  0.5000  0.2742  12 Cu 2.53-2.57
Cu  0.5000  0.0000  0.4794  12 Cu 2.53-2.56
Cu  0.0000  0.5000  0.7673  12 Cu 2.53-2.57
Zn  0.5000  0.0000  0.8948  4 Zn 2.53, 4 Cu 2.66
Cu  0.5000  0.0000  0.7258  12 Cu 2.53-2.57
Cu  0.0000  0.5000  0.8504  8 Cu 2.53-2.57, 4 Zn 2.66
Cu  0.5000  0.0000  0.2327  12 Cu 2.53-2.57
Cu  0.0000  0.5000  0.5206  12 Cu 2.53-2.56
Cu  0.0000  0.5000  0.6846  12 Cu 2.53-2.56
Cu  0.5000  0.0000  0.5617  12 Cu 2.53-2.55
Cu  0.5000  0.0000  0.1496  8 Cu 2.53-2.57, 4 Zn 2.66



| no. | DFT total energy (eV per atom) |
| --- | --- |
| 1 | -9.228 |
| 2 | -4.824 |
| 3 | -3.562 |
| 4 | -6.630 |
| 5 | -4.429 |
| 6 | -5.868 |
| 7 | -2.986 |
| 8 | -6.407 |
| 9 | -5.925 |
| 10 | -3.222 |
| 11 | -5.433 |
| 12 | -6.477 |
| 13 | -6.218 |
| 14 | -4.789 |
| 15 | -5.235 |
| 16 | -6.241 |
| 17 | -12.877 |
| 18 | -4.161 |
| 19 | -5.446 |
| 20 | -3.439 |